1.
The following is a DFT calculation (GGA-PBE) of MgVZnW2 after structural relaxation.

Geometry as POSCAR:
```
MgVZnW2
1.0
4.6338 0.0000 0.0000
0.0000 4.6338 0.0000
0.0000 0.0000 4.2308
Mg V Zn W
1 1 1 2
direct
0.0000 0.0000 0.0000
0.5000 0.5000 0.5000
0.0000 0.0000 0.5000
0.0000 0.5000 0.0000
0.5000 0.0000 0.0000
```

Symmetry   P4/mmm
Calculated formation energy   2139 meV per atom

***

2.
The following is a DFT calculation (GGA-PBE) of Ho2MgAl3Zn4 after structural relaxation.

Geometry as POSCAR:
```
Ho2MgAl3Zn4
1.0
4.2037 0.0000 0.0000
0.0000 4.2037 0.0000
0.0000 0.0000 10.8462
Ho Mg Al Zn
2 1 3 4
direct
0.0000 0.5000 0.2369
0.5000 0.0000 0.7631
0.0000 0.0000 0.5000
0.0000 0.5000 0.8669
0.5000 0.0000 0.1331
0.5000 0.5000 0.5000
0.0000 0.0000 0.0000
0.0000 0.5000 0.6447
0.5000 0.0000 0.3553
0.5000 0.5000 0.0000
```

Symmetry   P-4m2
Calculated formation energy   -309 meV per atom

***

3.
The following is a DFT calculation (GGA-PBE) of Ac8La3Sm after structural relaxation.

Geometry as POSCAR:
```
Ac8La3Sm
1.0
-4.7083 4.7083 6.4282
4.7083 -4.7083 6.4282
4.7083 4.7083 -6.4282
Ac La Sm
8 3 1
direct
0.1146 0.1146 0.7410
0.2369 0.2369 0.4932
0.2563 0.7631 0.0000
0.3735 0.3735 0.2590
0.6265 0.8854 0.0000
0.7437 0.7437 0.5068
0.7631 0.2563 0.0000
0.8854 0.6265 0.0000
0.2500 0.7500 0.5000
0.5000 0.5000 0.0000
0.7500 0.2500 0.5000
0.0000 0.0000 0.0000
```

Symmetry   I-42m
Calculated formation energy   556 meV per atom

***

4.
The following is a DFT calculation (GGA-PBE) of YFe2Br after structural relaxation.

Geometry as POSCAR:
```
YFe2Br
1.0
2.7059 -4.5521 0.0000
2.7059 4.5521 0.0000
0.0000 0.0000 3.3687
Y Fe Br
1 2 1
direct
0.0000 0.0000 0.0000
0.0000 0.5000 0.5000
0.5000 0.0000 0.5000
0.5000 0.5000 0.0000
```

E above lowest polymorph   540 meV per atom
Symmetry   Cmmm
Formation energy without anion corrections   0.4207 eV/atom